The following is a PBE calculation of an optimized crystal structure of LuTlFeAg, from OQMD via LeMat-Bulk.

Cell lengths 4.843, 4.843, 4.843 Å; angles 60.00, 60.00, 60.00 degrees
Atoms (fractional coordinates):
1 Ag 0.500 0.500 0.500
2 Fe 0.750 0.750 0.750
3 Lu 0.250 0.250 0.250
4 Tl 0.000 0.000 0.000

Results
Calculated volume = 20.09 A^3/atom
Total moment = 0.658 μB per atom
VASP energy = -0.16069 hartree per atom
Space-group type = F-43m (216)
Theoretical density = 11.224 g/cm³
Crystal system = cubic